No. 1
TbTm4Ga15, relaxed, DFT GGA-PBE; Fermi-level density of states = 7.58 states/eV per cell; mass density = 8.1 g/cm³; space group = P4/mmm (123); crystal system = tetragonal; formation energy = -0.52 eV per atom
1.0
4.254 0.000 0.000
0.000 4.254 0.000
0.000 0.000 21.175
Tb Tm Ga
1 4 15
direct
0.000 0.000 0.000 Tb
0.000 0.000 0.201 Tm
0.000 0.000 0.400 Tm
0.000 0.000 0.600 Tm
0.000 0.000 0.799 Tm
0.500 0.500 0.000 Ga
0.500 0.500 0.200 Ga
0.500 0.500 0.401 Ga
0.500 0.500 0.599 Ga
0.500 0.500 0.800 Ga
0.500 0.000 0.102 Ga
0.500 0.000 0.301 Ga
0.500 0.000 0.500 Ga
0.500 0.000 0.699 Ga
0.500 0.000 0.898 Ga
0.000 0.500 0.102 Ga
0.000 0.500 0.301 Ga
0.000 0.500 0.500 Ga
0.000 0.500 0.699 Ga
0.000 0.500 0.898 Ga

=====

No. 2
TbTm4Ga4, relaxed, DFT GGA-PBE; Fermi-level density of states = 12.88 states/eV per cell; mass density = 7.8 g/cm³; space group = P4_2/n (86); crystal system = tetragonal; formation energy = -0.35 eV per atom
1.0
5.845 0.000 0.000
0.000 9.017 0.000
0.000 0.000 9.017
Tb Tm Ga
2 8 8
direct
0.000 0.000 0.000 Tb
0.500 0.500 0.500 Tb
0.380 0.323 0.906 Tm
0.880 0.594 0.823 Tm
0.380 0.677 0.094 Tm
0.120 0.177 0.594 Tm
0.620 0.906 0.677 Tm
0.120 0.823 0.406 Tm
0.880 0.406 0.177 Tm
0.620 0.094 0.323 Tm
0.628 0.776 0.366 Ga
0.628 0.224 0.634 Ga
0.128 0.866 0.724 Ga
0.872 0.276 0.866 Ga
0.872 0.724 0.134 Ga
0.372 0.366 0.224 Ga
0.372 0.634 0.776 Ga
0.128 0.134 0.276 Ga

=====

No. 3
Tb3Tm4Ga4, relaxed, DFT GGA-PBE; Fermi-level density of states = 9.76 states/eV per cell; mass density = 8.5 g/cm³; space group = Immm (71); crystal system = orthorhombic; formation energy = -0.37 eV per atom
1.0
4.936 0.000 0.000
0.000 6.828 0.000
-2.468 -3.414 8.299
Tb Tm Ga
3 4 4
direct
0.099 0.099 0.199 Tb
0.901 0.901 0.801 Tb
0.000 0.500 0.000 Tb
0.322 0.091 0.645 Tm
0.678 0.446 0.355 Tm
0.678 0.909 0.355 Tm
0.322 0.554 0.645 Tm
0.179 0.679 0.358 Ga
0.821 0.321 0.642 Ga
0.500 0.802 0.000 Ga
0.500 0.198 0.000 Ga

=====

No. 4
TbTm2Ga, relaxed, DFT GGA-PBE; Fermi-level density of states = 11.79 states/eV per cell; mass density = 8.5 g/cm³; space group = Cmcm (63); crystal system = orthorhombic; formation energy = -0.25 eV per atom
1.0
4.206 0.000 0.000
-2.103 5.887 0.000
0.000 0.000 8.957
Tb Tm Ga
2 4 2
direct
0.941 0.882 0.250 Tb
0.059 0.118 0.750 Tb
0.356 0.712 0.557 Tm
0.644 0.288 0.443 Tm
0.356 0.712 0.943 Tm
0.644 0.288 0.057 Tm
0.747 0.494 0.750 Ga
0.253 0.506 0.250 Ga

=====

No. 5
Tb3TmGa, relaxed, DFT GGA-PBE; Fermi-level density of states = 14.01 states/eV per cell; mass density = 7.7 g/cm³; space group = C2/m (12); crystal system = monoclinic; formation energy = -0.07 eV per atom
1.0
-0.510 -4.330 -5.977
-3.594 -3.569 5.393
-3.170 6.710 -0.337
Tb Tm Ga
6 2 2
direct
0.843 0.030 0.255 Tb
0.225 0.412 0.255 Tb
0.775 0.588 0.745 Tb
0.724 0.444 0.168 Tb
0.157 0.970 0.745 Tb
0.276 0.556 0.832 Tb
0.702 0.065 0.767 Tm
0.298 0.935 0.233 Tm
0.629 0.756 0.384 Ga
0.371 0.244 0.616 Ga

=====

No. 6
TbTm2Ga6, relaxed, DFT GGA-PBE; Fermi-level density of states = 3.38 states/eV per cell; mass density = 8.4 g/cm³; space group = P6/mmm (191); crystal system = hexagonal; formation energy = -0.61 eV per atom
1.0
-1.253 3.267 -1.416
-5.027 -3.698 -4.081
-1.747 2.309 6.872
Tb Tm Ga
1 2 6
direct
0.000 0.000 0.000 Tb
0.000 0.333 0.667 Tm
0.000 0.667 0.333 Tm
0.500 0.334 0.334 Ga
0.500 0.666 0.666 Ga
0.500 0.000 0.666 Ga
0.500 0.666 0.000 Ga
0.500 0.334 0.000 Ga
0.500 0.000 0.334 Ga

=====

No. 7
TbTm3Ga4, relaxed, DFT GGA-PBE; Fermi-level density of states = 6.82 states/eV per cell; mass density = 8.8 g/cm³; space group = Pmma (51); crystal system = orthorhombic; formation energy = -0.57 eV per atom
1.0
-1.807 -4.600 0.842
1.329 -1.750 -6.708
9.162 -3.118 2.628
Tm Tb Ga
6 2 8
direct
0.000 0.000 0.000 Tm
0.000 0.000 0.500 Tm
0.502 0.000 0.750 Tm
0.498 0.000 0.250 Tm
0.502 0.500 0.750 Tm
0.498 0.500 0.250 Tm
0.000 0.500 0.000 Tb
0.000 0.500 0.500 Tb
0.500 0.754 0.000 Ga
0.500 0.754 0.500 Ga
0.500 0.246 0.000 Ga
0.500 0.246 0.500 Ga
0.003 0.754 0.750 Ga
0.997 0.754 0.250 Ga
0.997 0.246 0.250 Ga
0.003 0.246 0.750 Ga

=====

No. 8
TbTmGa6, relaxed, DFT GGA-PBE; Fermi-level density of states = 3.29 states/eV per cell; mass density = 8.0 g/cm³; space group = P-6m2 (187); crystal system = hexagonal; formation energy = -0.52 eV per atom
1.0
4.594 0.000 0.000
0.000 6.224 -0.200
0.000 -2.935 5.493
Tb Tm Ga
1 1 6
direct
0.500 0.416 0.584 Tb
0.000 0.084 0.916 Tm
0.000 0.044 0.397 Ga
0.000 0.603 0.956 Ga
0.000 0.603 0.397 Ga
0.500 0.452 0.101 Ga
0.500 0.899 0.548 Ga
0.500 0.899 0.101 Ga

=====

No. 9
Tb5TmGa6, relaxed, DFT GGA-PBE; Fermi-level density of states = 4.67 states/eV per cell; mass density = 8.4 g/cm³; space group = C2/m (12); crystal system = monoclinic; formation energy = -0.58 eV per atom
1.0
4.824 1.530 0.000
2.694 8.329 0.000
1.347 4.164 7.604
Tb Tm Ga
5 1 6
direct
0.500 0.168 0.663 Tb
0.000 0.334 0.332 Tb
0.500 0.500 0.000 Tb
0.000 0.666 0.668 Tb
0.500 0.832 0.337 Tb
0.000 0.000 0.000 Tm
0.753 0.082 0.330 Ga
0.247 0.588 0.330 Ga
0.256 0.244 0.000 Ga
0.744 0.756 0.000 Ga
0.753 0.412 0.670 Ga
0.247 0.918 0.670 Ga

=====

No. 10
Tb2TmGa3, relaxed, DFT GGA-PBE; Fermi-level density of states = 6.70 states/eV per cell; mass density = 7.6 g/cm³; space group = Immm (71); crystal system = orthorhombic; formation energy = -0.35 eV per atom
1.0
-2.154 -2.613 1.038
4.379 -3.929 -0.803
1.009 4.239 6.720
Tb Tm Ga
2 1 3
direct
0.667 0.167 0.335 Tb
0.333 0.833 0.665 Tb
0.000 0.500 0.000 Tm
0.336 0.336 0.671 Ga
0.000 0.000 0.000 Ga
0.664 0.664 0.329 Ga

=====

No. 11
TbTm2Ga, relaxed, DFT GGA-PBE; Fermi-level density of states = 3.76 states/eV per cell; mass density = 8.8 g/cm³; space group = P4/mmm (123); crystal system = tetragonal; formation energy = -0.29 eV per atom
1.0
3.488 0.000 0.000
0.000 3.488 0.000
0.000 0.000 8.780
Tm Tb Ga
2 1 1
direct
0.000 0.000 0.791 Tm
0.000 0.000 0.209 Tm
0.500 0.500 0.500 Tb
0.500 0.500 0.000 Ga

=====

No. 12
TbTm6Ga3, relaxed, DFT GGA-PBE; Fermi-level density of states = 20.79 states/eV per cell; mass density = 8.5 g/cm³; space group = Cmc2_1 (36); crystal system = orthorhombic; formation energy = -0.31 eV per atom
1.0
8.127 0.000 0.000
0.000 8.221 0.181
0.000 -1.658 8.054
Tb Tm Ga
2 12 6
direct
0.030 0.334 0.666 Tb
0.530 0.666 0.334 Tb
0.168 0.732 0.598 Tm
0.668 0.598 0.732 Tm
0.309 0.591 0.946 Tm
0.809 0.946 0.591 Tm
0.183 0.036 0.964 Tm
0.513 0.223 0.777 Tm
0.013 0.777 0.223 Tm
0.683 0.964 0.036 Tm
0.309 0.054 0.409 Tm
0.809 0.409 0.054 Tm
0.168 0.402 0.268 Tm
0.668 0.268 0.402 Tm
0.470 0.879 0.719 Ga
0.970 0.719 0.879 Ga
0.365 0.428 0.572 Ga
0.865 0.572 0.428 Ga
0.970 0.121 0.281 Ga
0.470 0.281 0.121 Ga

=====

Q: What is the formation energy in the eighth record?
A: -0.52 eV per atom

=====

Please write out number 12 again, unchanged.
TbTm6Ga3, relaxed, DFT GGA-PBE; Fermi-level density of states = 20.79 states/eV per cell; mass density = 8.5 g/cm³; space group = Cmc2_1 (36); crystal system = orthorhombic; formation energy = -0.31 eV per atom
1.0
8.127 0.000 0.000
0.000 8.221 0.181
0.000 -1.658 8.054
Tb Tm Ga
2 12 6
direct
0.030 0.334 0.666 Tb
0.530 0.666 0.334 Tb
0.168 0.732 0.598 Tm
0.668 0.598 0.732 Tm
0.309 0.591 0.946 Tm
0.809 0.946 0.591 Tm
0.183 0.036 0.964 Tm
0.513 0.223 0.777 Tm
0.013 0.777 0.223 Tm
0.683 0.964 0.036 Tm
0.309 0.054 0.409 Tm
0.809 0.409 0.054 Tm
0.168 0.402 0.268 Tm
0.668 0.268 0.402 Tm
0.470 0.879 0.719 Ga
0.970 0.719 0.879 Ga
0.365 0.428 0.572 Ga
0.865 0.572 0.428 Ga
0.970 0.121 0.281 Ga
0.470 0.281 0.121 Ga

=====

Q: Among the records above, which one has the lowest formation energy?
A: TbTm2Ga6